Record 1
The following is a DFT calculation (PBE) of an optimized crystal structure of TiZnAg.

Summary:
DFT total energy ... -24.6 eV/cell
Energy of formation from the pure elements ... -0.09 eV/atom
Excess energy over the best structure of this formula in the dataset ... 0.0 meV/atom
Volume ... 99 Å³/cell
Crystal system ... tetragonal
Symmetry ... P4/nmm

a = 2.8454 Å, b = 2.8454 Å, c = 12.2253 Å
α = 90.00°, β = 90.00°, γ = 90.00°
Last column: nearest neighbours and their distance in Å.
Positions (direct):
Ti (0.2500, 0.2500, 0.0834)  8 Ti 2.85-2.86, 4 Zn 2.86
Ti (0.7500, 0.7500, 0.9166)  8 Ti 2.85-2.86, 4 Zn 2.86
Zn (0.2500, 0.2500, 0.7500)  4 Ag 2.81, 4 Zn 2.85, 4 Ti 2.86
Zn (0.7500, 0.7500, 0.2500)  4 Ag 2.81, 4 Zn 2.85, 4 Ti 2.86
Ag (0.2500, 0.2500, 0.4103)  4 Zn 2.81, 8 Ag 2.85-2.98
Ag (0.7500, 0.7500, 0.5897)  4 Zn 2.81, 8 Ag 2.85-2.98



Record 2
The following is a DFT calculation (PBE) of an optimized crystal structure of Pm2Ga7Pt.

Summary:
DFT total energy ... -42.6 eV/cell
Energy of formation from the pure elements ... -0.58 eV/atom
Volume ... 196 Å³/cell
Crystal system ... tetragonal
Symmetry ... P-4m2

a = 4.2640 Å, b = 4.2640 Å, c = 10.7767 Å
α = 90.00°, β = 90.00°, γ = 90.00°
Last column: nearest neighbours and their distance in Å.
Positions (direct):
Pm (0.0000, 0.5000, 0.2431)  14 Ga 3.25-3.49, 2 Pt 3.38
Pm (0.5000, 0.0000, 0.7569)  14 Ga 3.25-3.49, 2 Pt 3.38
Ga (0.0000, 0.0000, 0.0000)  4 Ga 2.56
Ga (0.0000, 0.0000, 0.5000)  4 Ga 2.61
Ga (0.0000, 0.5000, 0.6404)  5 Ga 2.46-2.61
Ga (0.0000, 0.5000, 0.8689)  3 Ga 2.46-2.56, 2 Pt 2.56
Ga (0.5000, 0.0000, 0.1311)  3 Ga 2.46-2.56, 2 Pt 2.56
Ga (0.5000, 0.0000, 0.3596)  5 Ga 2.46-2.61
Ga (0.5000, 0.5000, 0.5000)  4 Ga 2.61
Pt (0.5000, 0.5000, 0.0000)  4 Ga 2.56